Material: LiYTmAl
Method: DFT, PBE
State: optimized geometry

Cell lengths 7.246, 7.246, 7.246 Å; angles 90.00, 90.00, 90.00 degrees
Positions (direct):
Li1 0.000 0.000 0.000
Li2 0.000 0.500 0.500
Li3 0.500 0.000 0.500
Li4 0.500 0.500 0.000
Y1 0.250 0.250 0.250
Y2 0.250 0.750 0.750
Y3 0.750 0.250 0.750
Y4 0.750 0.750 0.250
Tm1 0.250 0.250 0.750
Tm2 0.250 0.750 0.250
Tm3 0.750 0.250 0.250
Tm4 0.750 0.750 0.750
Al1 0.000 0.000 0.500
Al2 0.000 0.500 0.000
Al3 0.500 0.000 0.000
Al4 0.500 0.500 0.500

Output
The value obtained for the theoretical density is 5.1 g/cm³. The value obtained for the volume is 23.77 Å³/atom. The value obtained for the formation energy is -0.22 eV per atom. The calculation puts the total energy at -4.37 eV per atom.